# 1
DFT (GGA-PBE) results for a geometry-optimized Ho2IrRh3 structure.

POSCAR file:
```
Ho2IrRh3
1.0
5.3248 0.0000 0.0000
-2.6624 4.6114 0.0000
0.0000 0.0000 8.7092
Ho Ir Rh
4 2 6
Direct
0.3333 0.6667 0.0657
0.3333 0.6667 0.4343
0.6667 0.3333 0.5657
0.6667 0.3333 0.9343
0.0000 0.0000 0.0000
0.0000 0.0000 0.5000
0.1690 0.3380 0.7500
0.1690 0.8310 0.7500
0.3380 0.1690 0.2500
0.6620 0.8310 0.7500
0.8310 0.1690 0.2500
0.8310 0.6620 0.2500
```

Summary:
Energy of formation from the pure elements, eV per atom: -0.762
E above lowest polymorph, eV/atom: 0.012
DFT total energy, eV per atom: -7.4403
Total magnetization, Bohr magnetons per cell: 0.00

***

# 2
DFT (GGA-PBE) results for a geometry-optimized HoIrRh2 structure.

POSCAR file:
```
HoIrRh2
1.0
5.4248 0.0000 0.0000
0.0000 8.4038 0.0000
0.0000 0.0000 7.7906
Ho Ir Rh
4 4 8
Direct
0.2500 0.0000 0.1606
0.2500 0.5000 0.3217
0.7500 0.0000 0.8394
0.7500 0.5000 0.6783
0.2500 0.0000 0.7950
0.2500 0.5000 0.7278
0.7500 0.0000 0.2050
0.7500 0.5000 0.2722
0.0000 0.0000 0.5000
0.0000 0.5000 0.0000
0.2500 0.2556 0.5690
0.2500 0.7444 0.5690
0.5000 0.0000 0.5000
0.5000 0.5000 0.0000
0.7500 0.2556 0.4310
0.7500 0.7444 0.4310
```

Summary:
Energy of formation from the pure elements, eV per atom: 0.179
E above lowest polymorph, eV/atom: 0.679
DFT total energy, eV per atom: -6.8564
Total magnetization, Bohr magnetons per cell: 0.39

***

# 3
DFT (GGA-PBE) results for a geometry-optimized Ho3Ir8Rh structure.

POSCAR file:
```
Ho3Ir8Rh
1.0
2.6551 1.5329 8.6748
-2.6551 1.5329 8.6748
0.0000 -3.0659 8.6748
Ho Ir Rh
3 8 1
Direct
0.0000 0.0000 0.0000
0.1307 0.1307 0.1307
0.5172 0.5172 0.5172
0.0680 0.0680 0.5699
0.0680 0.5699 0.0680
0.0695 0.5658 0.5658
0.3165 0.3165 0.3165
0.5658 0.0695 0.5658
0.5658 0.5658 0.0695
0.5699 0.0680 0.0680
0.8179 0.8179 0.8179
0.6481 0.6481 0.6481
```

Summary:
Energy of formation from the pure elements, eV per atom: -0.534
DFT total energy, eV per atom: -8.1988
Total magnetization, Bohr magnetons per cell: 0.00

***

- Which value of DFT total energy does entry 3 give?
  -8.1988 eV per atom

***

- What is the formula in the first record?
  Ho2IrRh3

***

- total magnetization of number 1 (Ho2IrRh3)?
  0.00 Bohr magnetons per cell

***

- energy of formation from the pure elements of number 3 (Ho3Ir8Rh)?
  -0.534 eV per atom